# 1
DFT (PBE) results for a relaxed structure of BiP2CO.

abc: 5.3366 5.3366 4.1533
angles: 90.00 90.00 90.00
Space group P4/mmm (No. 123)
Asymmetric unit:
Bi 0.0000 0.0000 0.0000 x1
P 0.0000 0.5000 0.0000 x2
C 0.5000 0.5000 0.5000 x1
O 0.0000 0.0000 0.5000 x1

electronic total energy: -3.6775 eV/atom
polymorph energy (0 for the lowest one): 6.404 eV per formula unit
crystal system: tetragonal
energy relative to the elements, uncorrected: 2.099 eV per atom
magnetization: 0.630 μB per cell

# 2
DFT (PBE) results for a relaxed structure of BiPbC2O6.

abc: 9.4547 10.0610 7.0206
angles: 90.00 112.10 90.00
Space group C2/c (No. 15)
Asymmetric unit:
Bi 0.0000 0.1302 0.2500 x4
Pb 0.0000 0.3849 0.7500 x4
C 0.2417 0.3524 0.2568 x8
O 0.1271 0.4238 0.1405 x8
O 0.1390 0.0900 0.6114 x8
O 0.2375 0.2228 0.2373 x8

electronic total energy: -6.7617 eV/atom
crystal system: monoclinic
energy relative to the elements, uncorrected: -1.183 eV per atom
magnetization: 4.019 μB per cell

- Which formula does entry 2 have?
  BiPbC2O6